# SmMgNpO6 | the Alexandria database | GGA-PBE | optimized geometry
data_SmMgNpO6
_cell_length_a 5.4145
_cell_length_b 5.4145
_cell_length_c 10.0008
_cell_angle_alpha 90.00
_cell_angle_beta 90.00
_cell_angle_gamma 120.00
_space_group_name_H-M_alt 'P -3 1 c'
_space_group_IT_number 163
_space_group_name_Hall '-P 3 2c'
loop_
_atom_site_label
_atom_site_type_symbol
_atom_site_fract_x
_atom_site_fract_y
_atom_site_fract_z
Sm1 Sm 0.0000 0.0000 0.0000
Mg1 Mg 0.3333 0.6667 0.2500
Np1 Np 0.3333 0.6667 0.7500
O1 O 0.0118 0.3606 0.6396
# Magnetization, μB/cell: 0.0
# Energy relative to the elements, uncorrected, eV/atom: -2.861

=====

# Mg2NpSnO8 | the Alexandria database | GGA-PBE | optimized geometry
data_Mg2NpSnO8
_cell_length_a 4.781
_cell_length_b 6.549
_cell_length_c 4.783
_cell_angle_alpha 90.00
_cell_angle_beta 91.82
_cell_angle_gamma 90.00
_space_group_name_H-M_alt 'P 1 2/m 1'
_space_group_IT_number 10
loop_
_space_group_symop_operation_xyz
'x,y,z'
'-x,-y,-z'
'-x,y,-z'
'x,-y,z'
loop_
_atom_site_label
_atom_site_type_symbol
_atom_site_fract_x
_atom_site_fract_y
_atom_site_fract_z
Mg1 Mg 0.000 0.242 0.000
Np1 Np 0.500 0.500 0.500
Sn1 Sn 0.500 0.000 0.500
O1 O 0.200 0.000 0.198
O2 O 0.209 0.500 0.207
O3 O 0.304 0.257 0.695
# Magnetization, μB/cell: 1.0
# Energy relative to the elements, uncorrected, eV/atom: -2.130